Compound: K2InGePt
Source: the Alexandria database
Functional: PBE-GGA
Structure: optimized geometry

a b c (Å): 6.6028 6.6028 5.0788
angles (deg): 90.00 90.00 90.00
Closest atoms and distances in Å follow each position.
Fractional coordinates of all 5 atoms:
K 0.0000 0.5000 0.0000  2 In 3.30
K 0.5000 0.0000 0.0000  2 In 3.30
In 0.0000 0.0000 0.0000  2 Ge 2.54
Ge 0.0000 0.0000 0.5000  2 In 2.54
Pt 0.5000 0.5000 0.5000  8 K 4.17

## Properties
N(E_F) = 8.6 states/eV/cell
formation enthalpy at 0 K = 0.7479 eV per atom
VASP energy = -2.370 eV per atom

Compound: KInGePt
Source: the Alexandria database
Functional: PBE-GGA
Structure: optimized geometry

a b c (Å): 7.1196 7.1196 7.1196
angles (deg): 35.53 35.53 35.53
Closest atoms and distances in Å follow each position.
Fractional coordinates of all 4 atoms:
K 0.0000 0.0000 0.0000  3 Ge 3.40, 3 In 3.61, 3 Pt 3.74
In 0.7966 0.7966 0.7966  3 Pt 2.82, 3 Ge 3.07
Ge 0.5515 0.5515 0.5515  3 Pt 2.55
Pt 0.1946 0.1946 0.1946  3 Ge 2.55, 3 In 2.82

## Properties
N(E_F) = 2.3 states/eV/cell
formation enthalpy at 0 K = -0.3243 eV per atom
VASP energy = -3.948 eV per atom

Q: The highest N(E_F) belongs to which entry?
A: K2InGePt